(1)
## ReMoSe (PBE)

Data for a relaxed ReMoSe crystal.

Its crystal system is orthorhombic. Its space-group type is No. 44. The relative energy among the computed polymorphs comes out at 244 meV per atom. The total energy comes out at -8.4763 eV per atom. The formation energy from raw total energies is 0.445 eV per atom.

Lattice parameters (Å, degrees): 4.5971 4.5971 4.5971 141.64 126.72 67.54
Closest atoms and distances in Å follow each position.
Atoms (fractional coordinates):
1 Re 0.3376 0.3376 0.0000  1 Se 2.51, 1 Mo 2.61
2 Se 0.6658 0.6658 0.0000  1 Re 2.51, 1 Mo 2.53
3 Mo 0.9967 0.9967 0.0000  1 Se 2.53, 5 Re 2.61-2.83

(2)
## ReMoSe (PBE)

Data for a relaxed ReMoSe crystal.

Its crystal system is cubic. Its space-group type is No. 216. The relative energy among the computed polymorphs comes out at 227 meV per atom. The total energy comes out at -8.4933 eV per atom. The formation energy from raw total energies is 0.428 eV per atom.

Lattice parameters (Å, degrees): 4.2406 4.2406 4.2406 60.00 60.00 60.00
Closest atoms and distances in Å follow each position.
Atoms (fractional coordinates):
1 Se 0.0000 0.0000 0.0000  4 Re 2.60
2 Re 0.2500 0.2500 0.2500  4 Mo 2.60, 4 Se 2.60
3 Mo 0.5000 0.5000 0.5000  4 Re 2.60

(3)
## Re3MoSe (PBE)

Data for a relaxed Re3MoSe crystal.

Its crystal system is cubic. Its space-group type is No. 221. The total energy comes out at -8.5226 eV per atom. The formation energy from raw total energies is 1.809 eV per atom.

Lattice parameters (Å, degrees): 4.4859 4.4859 4.4859 90.00 90.00 90.00
Closest atoms and distances in Å follow each position.
Atoms (fractional coordinates):
1 Se 0.0000 0.0000 0.0000  6 Re 2.24
2 Re 0.0000 0.0000 0.5000  2 Se 2.24
3 Re 0.5000 0.0000 0.0000  2 Se 2.24
4 Re 0.0000 0.5000 0.0000  2 Se 2.24
5 Mo 0.5000 0.5000 0.5000  12 Re 3.17

(4)
## ReMoSe (PBE)

Data for a relaxed ReMoSe crystal.

Its crystal system is orthorhombic. Its space-group type is No. 38. The relative energy among the computed polymorphs comes out at 134 meV per atom. The total energy comes out at -8.5865 eV per atom. The formation energy from raw total energies is 0.335 eV per atom.

Lattice parameters (Å, degrees): 2.9723 3.0340 12.4818 90.00 90.00 119.33
Closest atoms and distances in Å follow each position.
Atoms (fractional coordinates):
1 Se 0.7412 0.4823 0.3501  3 Mo 2.54-2.56, 2 Re 2.79
2 Se 0.7412 0.4823 0.6499  3 Mo 2.54-2.56, 2 Re 2.79
3 Re 0.1624 0.3247 0.8361  3 Mo 2.53-2.78, 2 Se 2.79
4 Re 0.1624 0.3247 0.1639  3 Mo 2.53-2.78, 2 Se 2.79
5 Mo 0.4170 0.8339 0.5000  6 Se 2.54-2.56
6 Mo 0.4426 0.8851 0.0000  6 Re 2.53-2.78

(5)
## ReMo2Se5 (PBE)

Data for a relaxed ReMo2Se5 crystal.

Its crystal system is monoclinic. Its space-group type is No. 8. The total energy comes out at -6.3591 eV per atom. The formation energy from raw total energies is 0.082 eV per atom.

Lattice parameters (Å, degrees): 5.4893 7.2671 7.0674 59.06 66.94 90.00
Closest atoms and distances in Å follow each position.
Atoms (fractional coordinates):
1 Re 0.0167 0.9921 0.0158  5 Se 2.46-2.55, 1 Mo 2.74
2 Se 0.6456 0.6268 0.3155  2 Mo 2.49-2.62, 1 Re 2.55
3 Se 0.2906 0.2983 0.9655  1 Re 2.47, 2 Mo 2.50-2.59
4 Se 0.2906 0.7362 0.9655  1 Re 2.47, 2 Mo 2.50-2.59
5 Se 0.9216 0.1721 0.6558  2 Mo 2.36-2.47, 1 Re 2.46
6 Se 0.6456 0.0578 0.3155  2 Mo 2.49-2.62, 1 Re 2.55
7 Mo 0.4963 0.9744 0.0513  5 Se 2.47-2.62, 1 Re 2.74
8 Mo 0.9161 0.3654 0.2691  5 Se 2.36-2.59

(6)
## ReMoSe (PBE)

Data for a relaxed ReMoSe crystal.

Its crystal system is hexagonal. Its space-group type is No. 187. The relative energy among the computed polymorphs comes out at 83 meV per atom. The total energy comes out at -8.6381 eV per atom. The formation energy from raw total energies is 0.283 eV per atom.

Lattice parameters (Å, degrees): 4.2727 4.2727 2.9697 90.00 90.00 120.00
Closest atoms and distances in Å follow each position.
Atoms (fractional coordinates):
1 Re 0.6667 0.3333 0.4998  3 Se 2.47
2 Se 0.3333 0.6667 0.5002  3 Re 2.47
3 Mo 0.0000 0.0000 0.0000  6 Re 2.88, 6 Se 2.88, 2 Mo 2.97